[1]
This record from Alexandria via LeMat-Bulk describes an optimized crystal structure of TlBiAs2Br. The functional is GGA-PBE.

Values from the calculation:
Its crystal system is tetragonal.

```
5
Lattice="5.5113 0.0000 0.0000 0.0000 5.5113 0.0000 0.0000 0.0000 6.0156" Properties=species:S:1:pos:R:3 pbc="T T T"
Tl 0.0000 0.0000 0.0000
Bi 2.7556 2.7556 3.0078
As 0.0000 2.7556 3.0078
As 2.7556 0.0000 3.0078
Br 2.7556 2.7556 0.0000
```

=====

[2]
This record from Alexandria via LeMat-Bulk describes an optimized crystal structure of Bi3PdW. The functional is GGA-PBE.

Values from the calculation:
Its crystal system is cubic. As for the formation energy: 1227.7 meV per atom.

```
5
Lattice="5.3012 0.0000 0.0000 0.0000 5.3012 0.0000 0.0000 0.0000 5.3012" Properties=species:S:1:pos:R:3 pbc="T T T"
Bi 0.0000 0.0000 2.6506
Bi 0.0000 2.6506 0.0000
Bi 2.6506 0.0000 0.0000
Pd 0.0000 0.0000 0.0000
W 2.6506 2.6506 2.6506
```

=====

Number 1: uncorrected energy -0.11290 hartree per atom, total moment 1.149 μB per formula unit. Number 2: uncorrected energy -0.17383 hartree per atom, total moment 3.289 μB per formula unit.